1.
# VOF3

VOF3 after structural relaxation (PBE+U, the Alexandria database).

a = 5.4208 Å, b = 5.5740 Å, c = 5.4426 Å
α = 90.00°, β = 115.93°, γ = 90.00°
Closest atoms and distances in Å follow each position.
Space group P2_1 (No. 4)
Inequivalent atoms, fractional coordinates:
V1 0.2205 0.0000 0.2115 x2  1 O 1.64, 3 F 1.77-1.79
O1 0.0380 0.2134 0.0027 x2  1 V 1.64
F1 0.0613 0.9469 0.4289 x2  1 V 1.77
F2 0.4219 0.8735 0.0614 x2  1 V 1.77
F3 0.5000 0.1647 0.4629 x2  1 V 1.79

=====

2.
# V4O5F7

V4O5F7 after structural relaxation (PBE+U, the Alexandria database).

Summary:
ΔE to the lowest computed polymorph, meV/atom: 75

a = 4.8855 Å, b = 5.7512 Å, c = 7.8770 Å
α = 102.54°, β = 93.54°, γ = 92.06°
Closest atoms and distances in Å follow each position.
Space group P1 (No. 1)
Inequivalent atoms, fractional coordinates:
V1 0.0000 0.0000 0.0000 x1  2 O 1.68-1.71, 1 F 1.80
V2 0.0467 0.7989 0.3643 x1  1 O 1.61
V3 0.4451 0.3340 0.5637 x1  2 O 1.66-1.67, 2 F 1.76-1.84
V4 0.5555 0.4616 0.0103 x1  4 F 1.94-2.02, 2 O 2.00-2.03
O1 0.3367 0.0635 0.4510 x1  1 V 1.66
O2 0.3579 0.3710 0.7694 x1  1 V 1.67
O3 0.8014 0.1962 0.9281 x1  1 V 1.68
O4 0.8551 0.8586 0.5259 x1  1 V 1.61
O5 0.9161 0.9949 0.2066 x1  1 V 1.71
F1 0.2223 0.8648 0.8375 x1  1 V 1.80
F2 0.2952 0.5585 0.4562 x1  1 V 1.84
F3 0.3155 0.2193 0.0915 x1  2 V 1.95-2.02
F4 0.3167 0.6895 0.1380 x1  1 V 1.94
F5 0.7706 0.7030 0.9171 x1  2 V 1.97-2.00
F6 0.8044 0.3610 0.5646 x1  1 V 1.76
F7 0.8117 0.5252 0.2249 x1  2 V 1.99-2.00

=====

3.
# V2O2F3

V2O2F3 after structural relaxation (PBE+U, the Alexandria database).

Summary:
ΔE to the lowest computed polymorph, meV/atom: 34

a = 3.7288 Å, b = 10.0838 Å, c = 9.9094 Å
α = 90.00°, β = 90.00°, γ = 90.00°
Closest atoms and distances in Å follow each position.
Space group Cmcm (No. 63)
Inequivalent atoms, fractional coordinates:
V1 0.0000 0.1446 0.0585 x8  3 O 1.90-2.07, 3 F 1.94-2.05
O1 0.0000 0.3276 0.5360 x8  3 V 1.90-2.07
F1 0.0000 0.0383 0.6181 x8  2 V 1.94-2.05
F2 0.0000 0.2079 0.2500 x4  2 V 2.00

=====

4.
# V3O4F4

V3O4F4 after structural relaxation (PBE+U, the Alexandria database).

a = 4.7897 Å, b = 3.0023 Å, c = 9.7015 Å
α = 90.00°, β = 91.10°, γ = 90.00°
Closest atoms and distances in Å follow each position.
Space group Pm (No. 6)
Inequivalent atoms, fractional coordinates:
V1 0.0000 0.0000 0.0000 x1  6 O 1.95-1.99
V2 0.0394 0.5000 0.7305 x1  1 F 1.76, 2 O 1.95
V3 0.5185 0.5000 0.2229 x1  1 F 1.77, 3 O 1.95-1.96
O1 0.2104 0.5000 0.0873 x1  3 V 1.96-1.99
O2 0.2125 0.0000 0.8281 x1  3 V 1.95-1.97
O3 0.6958 0.0000 0.1311 x1  3 V 1.95
O4 0.8213 0.5000 0.9021 x1  3 V 1.96-1.98
F1 0.2676 0.5000 0.5907 x1  1 V 1.76
F2 0.3130 0.0000 0.3083 x1  2 V 1.99
F3 0.7565 0.5000 0.3643 x1  1 V 1.77
F4 0.8049 0.0000 0.6606 x1  2 V 1.99

=====

5.
# VOF3

VOF3 after structural relaxation (PBE+U, the Alexandria database).

a = 5.0480 Å, b = 8.3815 Å, c = 8.8308 Å
α = 90.00°, β = 105.58°, γ = 90.00°
Closest atoms and distances in Å follow each position.
Space group P2_1/c (No. 14)
Inequivalent atoms, fractional coordinates:
V1 0.0711 0.2324 0.1167 x4  1 O 1.61, 3 F 1.75-1.76
O1 0.0779 0.1735 0.9447 x4  1 V 1.61
F1 0.2016 0.0726 0.6405 x4  1 V 1.75
F2 0.2706 0.0983 0.2527 x4  1 V 1.75
F3 0.2753 0.7285 0.3797 x4  1 V 1.76

=====

6.
# V3O4F2

V3O4F2 after structural relaxation (PBE+U, the Alexandria database).

Summary:
ΔE to the lowest computed polymorph, meV/atom: 0

a = 4.6576 Å, b = 4.6537 Å, c = 10.3957 Å
α = 90.00°, β = 116.48°, γ = 90.00°
Closest atoms and distances in Å follow each position.
Space group Pc (No. 7)
Inequivalent atoms, fractional coordinates:
V1 0.0000 0.2234 0.0000 x2  4 O 1.78-1.98
V2 0.2412 0.2720 0.3156 x2  4 O 1.91-2.05, 2 F 2.11
V3 0.6216 0.2517 0.6587 x2  4 O 1.97-2.05, 2 F 2.10
O1 0.2466 0.0581 0.4894 x2  1 V 1.78
O2 0.3014 0.4470 0.1510 x2  3 V 1.88-2.02
O3 0.9112 0.0614 0.1530 x2  3 V 1.96-2.00
O4 0.9699 0.4320 0.8283 x2  3 V 1.91-1.98
F1 0.5827 0.0408 0.8288 x2  3 V 2.10-2.14
F2 0.6438 0.4621 0.4845 x2  3 V 2.10-2.16

=====

7.
# VOF3

VOF3 after structural relaxation (PBE+U, the Alexandria database).

a = 3.8792 Å, b = 3.8792 Å, c = 3.8792 Å
α = 90.00°, β = 90.00°, γ = 90.00°
Closest atoms and distances in Å follow each position.
Space group Pm-3m (No. 221)
Inequivalent atoms, fractional coordinates:
V1 0.0000 0.0000 0.0000 x1  12 F 2.74
O1 0.5000 0.5000 0.5000 x1  6 F 1.94
F1 0.0000 0.5000 0.5000 x3  2 O 1.94

=====

8.
# V3O4F2

V3O4F2 after structural relaxation (PBE+U, the Alexandria database).

Summary:
ΔE to the lowest computed polymorph, meV/atom: 3

a = 5.6161 Å, b = 4.6566 Å, c = 7.7265 Å
α = 90.00°, β = 92.95°, γ = 90.00°
Closest atoms and distances in Å follow each position.
Space group P2_1 (No. 4)
Inequivalent atoms, fractional coordinates:
V1 0.0847 0.0000 0.3472 x2  4 O 1.94-2.04, 2 F 2.13-2.14
V2 0.2649 0.5350 0.0042 x2  4 O 1.93-2.06, 2 F 2.06-2.12
V3 0.3925 0.0440 0.6894 x2  4 O 1.78-1.99
O1 0.1217 0.8279 0.5756 x2  3 V 1.94-2.03
O2 0.2104 0.3193 0.7725 x2  1 V 1.78
O3 0.2963 0.7126 0.2359 x2  3 V 1.97-2.01
O4 0.4455 0.8305 0.8939 x2  3 V 1.88-2.01
F1 0.0587 0.2116 0.1013 x2  3 V 2.06-2.14
F2 0.3924 0.2265 0.4431 x2  3 V 2.08-2.20

=====

Number 1: final energy -59.1 eV for the cell shown. Number 2: final energy -104.2 eV for the cell shown. Number 3: final energy -189.2 eV for the cell shown. Number 4: final energy -74.3 eV for the cell shown. Number 5: final energy -118.2 eV for the cell shown. Number 6: final energy -133.0 eV for the cell shown. Number 7: final energy -19.1 eV for the cell shown. Number 8: final energy -133.0 eV for the cell shown.